Here is crystalline CsRb2InI6 at its relaxed geometry from the Alexandria database. Energies are from PBE.

Cell and atoms, written as extended XYZ:
```
10
Lattice="9.231 0.000 0.000 0.000 9.231 0.000 4.616 4.616 6.528" Properties=species:S:1:pos:R:3 pbc="T T T"
Cs 0.000 0.000 0.000
I 4.616 4.616 2.938
I 9.231 9.231 3.590
I 2.538 2.538 0.000
I 6.693 6.693 0.000
I 6.693 2.538 0.000
I 2.538 6.693 0.000
Rb 9.231 4.616 3.264
Rb 4.616 9.231 3.264
In 4.616 4.616 0.000
```

Summary:
energy above the most stable polymorph in this dataset	0.0629	eV/atom
formation energy (no corrections)	-1017	meV/atom
raw total energy	-24.995	eV/cell
calculated volume	556	Å³/cell